A:
Entry from the Open Quantum Materials Database: a geometry-optimized NaCoNO structure (PBE with a Hubbard U).

Structure (POSCAR):
```
NaCoNO
1.0
0.591 3.058 -0.439
-0.105 0.773 5.242
5.955 -1.111 0.283
Co Na O N
2 2 2 2
direct
0.000 0.501 0.351
0.000 0.001 0.649
0.500 0.503 0.830
0.500 0.003 0.170
0.500 0.932 0.805
0.500 0.432 0.195
0.000 0.318 0.587
0.000 0.818 0.413
```


B:
Entry from the Open Quantum Materials Database: a geometry-optimized NaCoNO structure (PBE with a Hubbard U).

Structure (POSCAR):
```
NaCoNO
1.0
-0.775 -5.153 1.845
6.217 0.584 4.241
-2.719 1.750 3.745
Na Co N O
4 4 4 4
direct
0.548 0.143 0.029
0.048 0.857 0.029
0.952 0.143 0.529
0.452 0.857 0.529
0.573 0.620 0.019
0.427 0.380 0.519
0.927 0.620 0.519
0.073 0.380 0.019
0.996 0.168 0.031
0.496 0.832 0.031
0.004 0.832 0.531
0.504 0.168 0.531
0.102 0.418 0.623
0.398 0.418 0.123
0.602 0.582 0.623
0.898 0.582 0.123
```


Which of them is most stable, and which least? Most stable: A; least stable: B.


A:
Entry from the Open Quantum Materials Database: a geometry-optimized NaCoNO structure (PBE with a Hubbard U).

Structure (POSCAR):
```
NaCoNO
1.0
3.909 0.000 0.000
0.000 3.909 0.000
0.000 0.000 6.642
N O Na Co
2 2 2 2
direct
0.500 0.000 0.680
0.000 0.500 0.320
0.000 0.000 0.000
0.500 0.500 0.000
0.000 0.000 0.500
0.500 0.500 0.500
0.000 0.500 0.071
0.500 0.000 0.929
```


B:
Entry from the Open Quantum Materials Database: a geometry-optimized NaCoNO structure (PBE with a Hubbard U).

Structure (POSCAR):
```
NaCoNO
1.0
0.642 1.446 -2.643
-2.291 4.415 1.858
5.277 1.787 2.258
Na O Co N
2 2 2 2
direct
0.000 0.489 0.315
0.000 0.989 0.685
0.500 0.825 0.905
0.500 0.325 0.095
0.500 0.493 0.833
0.500 0.993 0.167
0.000 0.947 0.289
0.000 0.447 0.711
```


C:
Entry from the Open Quantum Materials Database: a geometry-optimized NaCoNO structure (PBE with a Hubbard U).

Structure (POSCAR):
```
NaCoNO
1.0
3.214 0.000 0.000
0.000 3.214 0.000
0.000 0.000 8.670
N Na Co O
2 2 2 2
direct
0.500 0.000 0.388
0.000 0.500 0.612
0.000 0.500 0.183
0.500 0.000 0.817
0.000 0.000 0.500
0.500 0.500 0.500
0.000 0.000 0.000
0.500 0.500 0.000
```


Which of them is most stable, and which least? Most stable: B; least stable: C.


A:
Entry from the Open Quantum Materials Database: a geometry-optimized NbCoNO structure (PBE with a Hubbard U).

Structure (POSCAR):
```
NbCoNO
1.0
0.399 0.823 -3.004
-0.590 5.147 1.333
5.446 0.408 0.835
Nb N Co O
2 2 2 2
direct
0.500 0.446 0.850
0.500 0.946 0.150
0.000 0.913 0.374
0.000 0.413 0.626
0.000 0.065 0.698
0.000 0.565 0.302
0.500 0.329 0.198
0.500 0.829 0.802
```


B:
Entry from the Open Quantum Materials Database: a geometry-optimized NbCoNO structure (PBE with a Hubbard U).

Structure (POSCAR):
```
NbCoNO
1.0
-2.649 -1.038 3.209
-1.125 -3.575 -2.084
3.243 -2.171 1.974
Co N Nb O
2 2 2 2
direct
0.500 0.500 0.925
0.000 0.000 0.075
0.000 0.000 0.557
0.500 0.500 0.443
0.000 0.500 0.500
0.500 0.000 0.500
0.000 0.500 0.000
0.500 0.000 0.000
```


Which of them is most stable, and which least? Most stable: B; least stable: A.


A:
Entry from the Open Quantum Materials Database: a geometry-optimized NdCoNO structure (PBE with a Hubbard U).

Structure (POSCAR):
```
NdCoNO
1.0
-3.686 -0.896 0.340
0.570 -3.137 -2.085
1.495 -3.815 6.148
O Co Nd N
2 2 2 2
direct
0.500 0.500 0.000
0.000 0.000 0.000
0.500 0.500 0.500
0.000 0.000 0.500
0.500 0.000 0.828
0.000 0.500 0.172
0.500 0.000 0.432
0.000 0.500 0.568
```


B:
Entry from the Open Quantum Materials Database: a geometry-optimized NdCoNO structure (PBE with a Hubbard U).

Structure (POSCAR):
```
NdCoNO
1.0
-1.886 -3.267 0.000
0.000 0.000 5.271
-5.177 2.989 0.000
O Nd Co N
2 2 2 2
direct
0.500 0.354 0.111
0.500 0.854 0.889
0.000 0.973 0.712
0.000 0.473 0.288
0.500 0.983 0.203
0.500 0.483 0.797
0.000 0.944 0.320
0.000 0.444 0.680
```


C:
Entry from the Open Quantum Materials Database: a geometry-optimized NdCoNO structure (PBE with a Hubbard U).

Structure (POSCAR):
```
NdCoNO
1.0
4.920 0.000 0.000
0.000 4.920 0.000
0.000 0.000 4.542
O Co Nd N
2 2 2 2
direct
0.000 0.000 0.000
0.500 0.500 0.000
0.000 0.500 0.013
0.500 0.000 0.987
0.500 0.500 0.500
0.000 0.000 0.500
0.500 0.000 0.526
0.000 0.500 0.474
```


Which of them is most stable, and which least? Most stable: B; least stable: C.


A:
Entry from the Open Quantum Materials Database: a geometry-optimized CoPdNO structure (PBE with a Hubbard U).

Structure (POSCAR):
```
CoPdNO
1.0
3.777 0.000 0.000
0.000 3.777 0.000
0.000 0.000 6.152
N Co O Pd
2 2 2 2
direct
0.500 0.000 0.498
0.000 0.500 0.502
0.000 0.000 0.500
0.500 0.500 0.500
0.000 0.000 0.000
0.500 0.500 0.000
0.000 0.500 0.174
0.500 0.000 0.826
```


B:
Entry from the Open Quantum Materials Database: a geometry-optimized CoPdNO structure (PBE with a Hubbard U).

Structure (POSCAR):
```
CoPdNO
1.0
5.730 0.000 0.000
0.000 6.134 0.000
0.000 0.000 5.106
O N Co Pd
4 4 4 4
direct
0.509 0.892 0.624
0.009 0.108 0.624
0.491 0.108 0.124
0.991 0.892 0.124
0.388 0.590 0.092
0.888 0.410 0.092
0.612 0.410 0.592
0.112 0.590 0.592
0.409 0.635 0.459
0.591 0.365 0.959
0.909 0.365 0.459
0.091 0.635 0.959
0.856 0.800 0.526
0.644 0.800 0.026
0.356 0.200 0.526
0.144 0.200 0.026
```


C:
Entry from the Open Quantum Materials Database: a geometry-optimized CoPdNO structure (PBE with a Hubbard U).

Structure (POSCAR):
```
CoPdNO
1.0
3.619 0.000 0.000
0.000 3.619 0.000
0.000 0.000 6.501
Co Pd O N
2 2 2 2
direct
0.250 0.750 0.500
0.750 0.250 0.500
0.250 0.250 0.164
0.750 0.750 0.836
0.250 0.750 0.000
0.750 0.250 0.000
0.250 0.250 0.591
0.750 0.750 0.409
```


Which of them is most stable, and which least? Most stable: B; least stable: C.


A:
Entry from the Open Quantum Materials Database: a geometry-optimized CoPtNO structure (PBE with a Hubbard U).

Structure (POSCAR):
```
CoPtNO
1.0
2.665 -2.665 0.000
2.665 2.665 0.000
0.000 0.000 6.337
N Co Pt O
2 2 2 2
direct
0.250 0.250 0.496
0.750 0.750 0.504
0.750 0.250 0.500
0.250 0.750 0.500
0.250 0.250 0.188
0.750 0.750 0.812
0.250 0.750 0.000
0.750 0.250 0.000
```


B:
Entry from the Open Quantum Materials Database: a geometry-optimized CoPtNO structure (PBE with a Hubbard U).

Structure (POSCAR):
```
CoPtNO
1.0
3.104 0.000 0.000
0.000 5.029 0.000
0.000 0.000 6.159
N O Pt Co
2 2 2 2
direct
0.000 0.868 0.286
0.000 0.368 0.714
0.500 0.883 0.851
0.500 0.383 0.149
0.000 0.004 0.584
0.000 0.504 0.416
0.500 0.499 0.858
0.500 0.999 0.142
```


Which of them is most stable, and which least? Most stable: B; least stable: A.


A:
Entry from the Open Quantum Materials Database: a geometry-optimized CoReNO structure (PBE with a Hubbard U).

Structure (POSCAR):
```
CoReNO
1.0
-1.381 -2.391 0.000
0.000 0.000 5.386
-4.921 2.841 0.000
Co N O Re
2 2 2 2
direct
0.500 0.557 0.781
0.500 0.057 0.219
0.000 0.822 0.315
0.000 0.322 0.685
0.500 0.405 0.112
0.500 0.905 0.888
0.000 0.470 0.373
0.000 0.970 0.627
```


B:
Entry from the Open Quantum Materials Database: a geometry-optimized CoReNO structure (PBE with a Hubbard U).

Structure (POSCAR):
```
CoReNO
1.0
2.908 0.000 0.000
0.000 5.800 0.000
0.000 0.000 5.179
N Re Co O
2 2 2 2
direct
0.000 0.327 0.413
0.000 0.673 0.913
0.500 0.089 0.465
0.500 0.911 0.965
0.000 0.637 0.545
0.000 0.363 0.045
0.500 0.233 0.831
0.500 0.767 0.331
```


Which of them is most stable, and which least? Most stable: A; least stable: B.


A:
Entry from the Open Quantum Materials Database: a geometry-optimized CoSbNO structure (PBE with a Hubbard U).

Structure (POSCAR):
```
CoSbNO
1.0
4.672 0.000 0.000
0.000 4.672 0.000
0.000 0.000 4.389
N Co Sb O
2 2 2 2
direct
0.250 0.250 0.500
0.750 0.750 0.500
0.250 0.250 0.000
0.750 0.750 0.000
0.250 0.750 0.500
0.750 0.250 0.500
0.250 0.750 0.000
0.750 0.250 0.000
```


B:
Entry from the Open Quantum Materials Database: a geometry-optimized CoSbNO structure (PBE with a Hubbard U).

Structure (POSCAR):
```
CoSbNO
1.0
-1.763 -3.054 0.000
0.000 0.000 5.796
-4.707 2.717 0.000
O N Sb Co
2 2 2 2
direct
0.500 0.826 0.853
0.500 0.326 0.147
0.000 0.405 0.621
0.000 0.905 0.379
0.000 0.032 0.732
0.000 0.532 0.268
0.500 0.491 0.790
0.500 0.991 0.210
```


C:
Entry from the Open Quantum Materials Database: a geometry-optimized CoSbNO structure (PBE with a Hubbard U).

Structure (POSCAR):
```
CoSbNO
1.0
5.800 0.000 0.000
0.000 8.215 0.000
0.000 0.000 5.215
N Sb O Co
4 4 4 4
direct
0.406 0.113 0.094
0.094 0.113 0.594
0.906 0.887 0.094
0.594 0.887 0.594
0.954 0.325 0.501
0.046 0.675 0.001
0.546 0.325 0.001
0.454 0.675 0.501
0.371 0.733 0.129
0.629 0.267 0.629
0.129 0.733 0.629
0.871 0.267 0.129
0.920 0.917 0.478
0.080 0.083 0.978
0.580 0.917 0.978
0.420 0.083 0.478
```


Which of them is most stable, and which least? Most stable: C; least stable: A.


A:
Entry from the Open Quantum Materials Database: a geometry-optimized CoSiNO structure (PBE with a Hubbard U).

Structure (POSCAR):
```
CoSiNO
1.0
3.499 0.000 0.000
0.000 3.499 0.000
0.000 0.000 7.603
N O Si Co
2 2 2 2
direct
0.500 0.000 0.410
0.000 0.500 0.590
0.000 0.000 0.000
0.500 0.500 0.000
0.000 0.500 0.126
0.500 0.000 0.874
0.000 0.000 0.500
0.500 0.500 0.500
```


B:
Entry from the Open Quantum Materials Database: a geometry-optimized CoSiNO structure (PBE with a Hubbard U).

Structure (POSCAR):
```
CoSiNO
1.0
-0.241 2.492 2.450
-3.489 -0.039 -0.304
-0.410 -5.359 5.412
Co O N Si
2 2 2 2
direct
0.500 0.000 0.500
0.000 0.500 0.500
0.000 0.500 0.000
0.500 0.000 0.000
0.000 0.000 0.590
0.500 0.500 0.410
0.500 0.500 0.874
0.000 0.000 0.126
```


Which of them is most stable, and which least? Most stable: A; least stable: B.